This record from Alexandria via LeMat-Bulk describes a relaxed BeNiAg3 crystal. The functional is PBE.

The structure in CIF format:
```
data_BeNiAg3
_cell_length_a 4.738
_cell_length_b 4.738
_cell_length_c 4.738
_cell_angle_alpha 90.00
_cell_angle_beta 90.00
_cell_angle_gamma 90.00
_space_group_name_H-M_alt 'P m -3 m'
_space_group_IT_number 221
_space_group_name_Hall '-P 4 2 3'
loop_
_atom_site_label
_atom_site_fract_x
_atom_site_fract_y
_atom_site_fract_z
Be1 0.000 0.000 0.000
Ni1 0.500 0.500 0.500
Ag1 0.000 0.500 0.500
```

Results
The calculation puts the raw total energy at -12.3 eV for the cell shown. As for the formation energy: 1.155 eV per atom. The magnetic moment comes out at 0.01 Bohr magnetons per cell. The value obtained for the density of states at the Fermi level is 0.675 states/eV/atom. The offset from the most stable computed form is 518 meV per atom.